Crystalline KSr3 at its relaxed geometry, computed with GGA-PBEsol.

## Properties
Magnetization, Bohr magnetons per cell: 0.00
Excess energy over the best structure of this formula in the dataset, eV per atom: 0.043
Space-group type: Immm (71)
Mass density, g/cm³: 2.282

a b c (Å): 4.5945 6.9131 8.0665
angles (deg): 115.37 106.55 90.00
Last column: nearest neighbours and their distance in Å.
Fractional coordinates of all 4 atoms:
Sr (0.2525, 0.7525, 0.5050)  2 K 4.12, 8 Sr 4.15-4.59
Sr (0.7475, 0.2475, 0.4950)  2 K 4.12, 8 Sr 4.15-4.59
Sr (0.5000, 0.5000, 0.0000)  4 K 4.15, 6 Sr 4.18-4.59
K (0.0000, 0.0000, 0.0000)  8 Sr 4.12-4.15, 2 K 4.59

=====

Crystalline Er6Ga17Pd5 at its relaxed geometry, computed with GGA-PBEsol.

## Properties
Magnetization, Bohr magnetons per cell: 0.00
Space-group type: C2/m (12)
Mass density, g/cm³: 9.351
Total energy, eV/atom: -4.876

a b c (Å): 4.1630 8.0151 15.4760
angles (deg): 103.80 90.00 105.05
Last column: nearest neighbours and their distance in Å.
Fractional coordinates of all 28 atoms:
Er (0.9093, 0.8186, 0.0937)  4 Pd 3.00-3.07, 8 Ga 3.01-3.07
Er (0.3990, 0.7980, 0.5979)  11 Ga 2.98-3.32, 2 Pd 3.00-3.01
Er (0.7527, 0.5055, 0.2489)  12 Ga 3.10-3.18, 2 Pd 3.47
Er (0.0907, 0.1814, 0.9063)  4 Pd 3.00-3.07, 8 Ga 3.01-3.07
Er (0.6010, 0.2020, 0.4021)  11 Ga 2.98-3.32, 2 Pd 3.00-3.01
Er (0.2473, 0.4945, 0.7511)  12 Ga 3.10-3.18, 2 Pd 3.47
Ga (0.8221, 0.6443, 0.4601)  4 Ga 2.52-2.67, 2 Pd 2.71
Ga (0.7305, 0.4610, 0.8959)  4 Ga 2.48-2.63, 1 Pd 2.53
Ga (0.9619, 0.9238, 0.3219)  4 Ga 2.53-2.67, 2 Pd 2.69
Ga (0.7600, 0.5200, 0.6065)  4 Ga 2.46-2.67, 1 Pd 2.57
Ga (0.5457, 0.0913, 0.1738)  3 Ga 2.57-2.68, 3 Pd 2.61-2.63
Ga (0.2695, 0.5390, 0.1041)  4 Ga 2.48-2.63, 1 Pd 2.53
Ga (0.8914, 0.7828, 0.7341)  4 Ga 2.46-2.62, 1 Pd 2.51
Ga (0.4543, 0.9087, 0.8262)  3 Ga 2.57-2.68, 3 Pd 2.61-2.63
Ga (0.0381, 0.0762, 0.6781)  4 Ga 2.53-2.67, 2 Pd 2.69
Ga (0.2400, 0.4800, 0.3935)  4 Ga 2.46-2.67, 1 Pd 2.57
Ga (0.6015, 0.2029, 0.7638)  4 Ga 2.48-2.68, 1 Pd 2.60
Ga (0.3256, 0.6512, 0.9571)  3 Ga 2.59-2.63, 3 Pd 2.61-2.62
Ga (0.1779, 0.3557, 0.5399)  4 Ga 2.52-2.67, 2 Pd 2.71
Ga (0.3985, 0.7971, 0.2362)  4 Ga 2.48-2.68, 1 Pd 2.60
Ga (0.6744, 0.3488, 0.0429)  3 Ga 2.59-2.63, 3 Pd 2.61-2.62
Ga (0.1086, 0.2172, 0.2659)  4 Ga 2.46-2.62, 1 Pd 2.51
Ga (0.0000, 0.0000, 0.5000)  4 Ga 2.67, 4 Pd 2.73
Pd (0.5915, 0.1831, 0.5939)  8 Ga 2.57-2.73
Pd (0.8939, 0.7879, 0.8966)  6 Ga 2.51-2.63
Pd (0.4085, 0.8169, 0.4061)  8 Ga 2.57-2.73
Pd (0.5000, 0.0000, 0.0000)  4 Ga 2.61-2.62, 4 Pd 2.88
Pd (0.1061, 0.2121, 0.1034)  6 Ga 2.51-2.63

=====

Crystalline BiTe3C at its relaxed geometry, computed with GGA-PBEsol.

## Properties
Magnetization, Bohr magnetons per cell: 0.00
Formation energy without anion corrections, eV per atom: 0.748
Space-group type: Pm-3m (221)
Mass density, g/cm³: 8.809

a b c (Å): 4.8462 4.8462 4.8462
angles (deg): 90.00 90.00 90.00
Last column: nearest neighbours and their distance in Å.
Fractional coordinates of all 5 atoms:
Te (0.0000, 0.0000, 0.5000)  2 C 2.42
Te (0.0000, 0.5000, 0.0000)  2 C 2.42
Te (0.5000, 0.0000, 0.0000)  2 C 2.42
C (0.0000, 0.0000, 0.0000)  6 Te 2.42
Bi (0.5000, 0.5000, 0.5000)  12 Te 3.43

=====

Crystalline LiBe2Ir at its relaxed geometry, computed with GGA-PBEsol.

## Properties
Magnetization, Bohr magnetons per cell: 0.00
Space-group type: P4/mmm (123)
Mass density, g/cm³: 8.797
Total energy, eV/atom: -5.309

a b c (Å): 2.7848 3.8368 3.8368
angles (deg): 90.00 90.00 90.00
Last column: nearest neighbours and their distance in Å.
Fractional coordinates of all 4 atoms:
Be (0.0000, 0.0000, 0.5000)  4 Li 2.37, 4 Ir 2.37
Be (0.0000, 0.5000, 0.0000)  4 Li 2.37, 4 Ir 2.37
Ir (0.5000, 0.0000, 0.0000)  8 Be 2.37
Li (0.5000, 0.5000, 0.5000)  8 Be 2.37